(1)
This record from OQMD via LeMat-Bulk describes a geometry-optimized ErNbAsO structure. The functional is PBE-GGA.

```
ErNbAsO
1.0
4.1363 0.0000 0.0000
0.0000 4.1363 0.0000
0.0000 0.0000 7.8262
Er Nb As O
2 2 2 2
Direct
0.2500 0.7500 0.0000 Er
0.7500 0.2500 0.0000 Er
0.2500 0.2500 0.3920 Nb
0.7500 0.7500 0.6080 Nb
0.2500 0.2500 0.7493 As
0.7500 0.7500 0.2507 As
0.2500 0.7500 0.5000 O
0.7500 0.2500 0.5000 O
```

Results
The calculation puts the total magnetic moment at 0.04 μB per formula unit. The space group is P4/nmm. The energy above the most stable polymorph in this dataset comes out at 1119 meV per atom.

(2)
This record from OQMD via LeMat-Bulk describes a geometry-optimized KHf4CdC2 structure. The functional is PBE-GGA.

```
KHf4CdC2
1.0
3.3076 0.0000 0.0000
-1.6538 2.8645 0.0000
0.0000 0.0000 16.9736
K Hf Cd C
1 4 1 2
Direct
0.0000 0.0000 0.0000 K
0.0000 0.0000 0.3484 Hf
0.0000 0.0000 0.6516 Hf
0.6667 0.3333 0.2039 Hf
0.6667 0.3333 0.7961 Hf
0.6667 0.3333 0.5000 Cd
0.3333 0.6667 0.2763 C
0.3333 0.6667 0.7237 C
```

Results
The calculation puts the total magnetic moment at 0.53 μB per formula unit. The space group is P-6m2.

(3)
This record from OQMD via LeMat-Bulk describes a geometry-optimized MgHg5Cl3 structure. The functional is PBE-GGA.

```
MgHg5Cl3
1.0
6.4421 0.0000 0.0000
0.0000 7.4113 0.0000
-1.1351 0.0000 6.3594
Mg Hg Cl
1 5 3
Direct
0.0000 0.0000 0.0000 Mg
0.1923 0.7060 0.1911 Hg
0.2069 0.2210 0.7896 Hg
0.5000 0.2939 0.5000 Hg
0.7931 0.2210 0.2104 Hg
0.8077 0.7060 0.8089 Hg
0.0000 0.5040 0.5000 Cl
0.5000 0.5022 0.0000 Cl
0.5000 0.8033 0.5000 Cl
```

Results
The space group is P2.

(4)
This record from OQMD via LeMat-Bulk describes a geometry-optimized LiAgWSeS2 structure. The functional is PBE-GGA.

```
LiAgWSeS2
1.0
1.6936 -6.5803 0.0000
1.6936 6.5803 0.0000
0.0000 0.0000 10.0196
Li Ag W Se S
2 2 2 2 4
Direct
0.2388 0.7612 0.7500 Li
0.7612 0.2388 0.2500 Li
0.0847 0.9153 0.2500 Ag
0.9153 0.0847 0.7500 Ag
0.5000 0.5000 0.0000 W
0.5000 0.5000 0.5000 W
0.4165 0.5835 0.2500 Se
0.5835 0.4165 0.7500 Se
0.1337 0.8663 0.0208 S
0.1337 0.8663 0.4792 S
0.8663 0.1337 0.5208 S
0.8663 0.1337 0.9792 S
```

Results
The calculation puts the total magnetic moment at 0.77 μB per formula unit. The space group is Cmcm.

(5)
This record from OQMD via LeMat-Bulk describes a geometry-optimized Ta9Ni4 structure. The functional is PBE-GGA.

```
Ta9Ni4
1.0
2.6520 1.5311 9.2100
-2.6520 1.5311 9.2100
0.0000 -3.0623 9.2100
Ta Ni
9 4
Direct
0.0000 0.0000 0.0000 Ta
0.0888 0.0888 0.5869 Ta
0.0888 0.5869 0.0888 Ta
0.1683 0.1683 0.1683 Ta
0.4131 0.9112 0.9112 Ta
0.5869 0.0888 0.0888 Ta
0.8317 0.8317 0.8317 Ta
0.9112 0.4131 0.9112 Ta
0.9112 0.9112 0.4131 Ta
0.3503 0.3503 0.3503 Ni
0.4537 0.4537 0.4537 Ni
0.5463 0.5463 0.5463 Ni
0.6497 0.6497 0.6497 Ni
```

Results
The calculation puts the total magnetic moment at 0.01 μB per formula unit. Its energy relative to the elements is 0.453 eV per atom. The space group is R-3m. The energy above the most stable polymorph in this dataset comes out at 308 meV per atom.

(6)
This record from OQMD via LeMat-Bulk describes a geometry-optimized IrPdNO structure. The functional is PBE-GGA.

```
IrPdNO
1.0
2.8483 0.0000 0.0000
0.0000 6.1283 0.0000
0.0000 0.0000 5.6560
Ir Pd N O
2 2 2 2
Direct
0.0000 0.1721 0.0000 Ir
0.0000 0.8279 0.5000 Ir
0.5000 0.4355 0.4761 Pd
0.5000 0.5645 0.9761 Pd
0.5000 0.2816 0.7906 N
0.5000 0.7184 0.2906 N
0.0000 0.1262 0.3458 O
0.0000 0.8738 0.8458 O
```

Results
The calculation puts the total magnetic moment at 0.00 μB per formula unit. The space group is Pmc2_1. The energy above the most stable polymorph in this dataset comes out at 15 meV per atom.

(7)
This record from OQMD via LeMat-Bulk describes a geometry-optimized GaAgSn2 structure. The functional is PBE-GGA.

```
GaAgSn2
1.0
0.0000 3.6152 3.6152
3.6152 0.0000 3.6152
3.6152 3.6152 0.0000
Ga Ag Sn
1 1 2
Direct
0.0000 0.0000 0.0000 Ga
0.2500 0.2500 0.2500 Ag
0.5000 0.5000 0.5000 Sn
0.7500 0.7500 0.7500 Sn
```

Results
The space group is F-43m.

(8)
This record from OQMD via LeMat-Bulk describes a geometry-optimized RbCuPtW structure. The functional is PBE-GGA.

```
RbCuPtW
1.0
0.0000 3.4133 3.4133
3.4133 0.0000 3.4133
3.4133 3.4133 0.0000
Rb Cu Pt W
1 1 1 1
Direct
0.0000 0.0000 0.0000 Rb
0.7500 0.7500 0.7500 Cu
0.2500 0.2500 0.2500 Pt
0.5000 0.5000 0.5000 W
```

Results
The calculation puts the total magnetic moment at 2.50 μB per formula unit. The space group is F-43m. The energy above the most stable polymorph in this dataset comes out at 127 meV per atom.

(9)
This record from OQMD via LeMat-Bulk describes a geometry-optimized Re2BiSe6 structure. The functional is PBE-GGA.

```
Re2BiSe6
1.0
10.1061 -3.1247 0.0000
10.1061 3.1247 0.0000
-0.5988 0.0000 6.4015
Re Bi Se
4 2 12
Direct
0.0556 0.5715 0.9066 Re
0.4285 0.9444 0.5934 Re
0.5715 0.0556 0.4066 Re
0.9444 0.4285 0.0934 Re
0.0386 0.9614 0.7500 Bi
0.9614 0.0386 0.2500 Bi
0.0367 0.2627 0.4508 Se
0.1827 0.4075 0.2514 Se
0.2627 0.0367 0.9508 Se
0.2820 0.5835 0.9690 Se
0.4075 0.1827 0.7514 Se
0.4165 0.7180 0.5310 Se
0.5835 0.2820 0.4690 Se
0.5925 0.8173 0.2486 Se
0.7180 0.4165 0.0310 Se
0.7373 0.9633 0.0492 Se
0.8173 0.5925 0.7486 Se
0.9633 0.7373 0.5492 Se
```

Results
The calculation puts the total magnetic moment at 0.00 μB per formula unit. The space group is C2/c.

(10)
This record from OQMD via LeMat-Bulk describes a geometry-optimized Gd2DyIn3Ag2Pt structure. The functional is PBE-GGA.

```
Gd2DyIn3Ag2Pt
1.0
4.0099 0.0000 0.0000
0.0000 6.7153 3.8800
0.0000 -6.7153 3.8800
Gd Dy In Ag Pt
2 1 3 2 1
Direct
0.0000 0.1990 0.8010 Gd
0.0000 0.8010 0.1990 Gd
0.0000 0.5958 0.5958 Dy
0.5000 0.1997 0.4560 In
0.5000 0.4560 0.1997 In
0.5000 0.9426 0.9426 In
0.5000 0.5331 0.8644 Ag
0.5000 0.8644 0.5331 Ag
0.0000 0.2006 0.2006 Pt
```

Results
The calculation puts the total magnetic moment at 0.01 μB per formula unit. The space group is Amm2.

(11)
This record from OQMD via LeMat-Bulk describes a geometry-optimized BaCdSO structure. The functional is PBE-GGA.

```
BaCdSO
1.0
4.4205 0.0000 0.0000
0.0000 4.4205 0.0000
0.0000 0.0000 9.1897
Ba Cd S O
2 2 2 2
Direct
0.2500 0.2500 0.1964 Ba
0.7500 0.7500 0.8036 Ba
0.2500 0.2500 0.5768 Cd
0.7500 0.7500 0.4232 Cd
0.2500 0.2500 0.8554 S
0.7500 0.7500 0.1446 S
0.2500 0.7500 0.5000 O
0.7500 0.2500 0.5000 O
```

Results
The space group is P4/nmm.

(12)
This record from OQMD via LeMat-Bulk describes a geometry-optimized Ge4PtS3 structure. The functional is PBE-GGA.

```
Ge4PtS3
1.0
7.0101 0.0000 0.0000
0.0000 3.5103 0.0000
-1.8573 0.0000 7.0474
Ge Pt S
4 1 3
Direct
0.0000 0.0000 0.0000 Ge
0.1329 0.5000 0.5052 Ge
0.5122 0.5000 0.9688 Ge
0.6934 0.0000 0.3713 Ge
0.8526 0.5000 0.2087 Pt
0.3473 0.0000 0.6163 S
0.3647 0.0000 0.1249 S
0.9536 0.5000 0.7539 S
```

Results
The calculation puts the total magnetic moment at 0.01 μB per formula unit. The space group is Pm.

| no. | calculated total energy (eV/atom) |
| --- | --- |
| 1 | -6.856 |
| 2 | -7.869 |
| 3 | -1.261 |
| 4 | -5.176 |
| 5 | -9.465 |
| 6 | -6.531 |
| 7 | -3.356 |
| 8 | -4.500 |
| 9 | -5.680 |
| 10 | -4.358 |
| 11 | -4.482 |
| 12 | -4.809 |